Entry 1:
## K2CuP2O7 (PBEsol)

Data for crystalline K2CuP2O7 at its relaxed geometry.

Output
ΔE_f (raw): -2.01 eV/atom
Magnetic moment: 1.988 μB/cell
Calculated total energy: -6.584 eV per atom
Calculated volume: 356 Å³/cell

Geometry as CIF:
```
data_K2CuP2O7
_chemical_formula_sum 'K4 Cu2 P4 O14'
_symmetry_space_group_name_H-M 'P -4 21 m'
_symmetry_Int_Tables_number 113
_symmetry_space_group_name_Hall 'P -4 2ab'
_cell_length_a 8.088
_cell_length_b 8.088
_cell_length_c 5.444
_cell_angle_alpha 90.00
_cell_angle_beta 90.00
_cell_angle_gamma 90.00
loop_
_atom_site_label
_atom_site_type_symbol
_atom_site_fract_x
_atom_site_fract_y
_atom_site_fract_z
K1 K 0.167 0.333 0.492
Cu1 Cu 0.000 0.000 0.000
P1 P 0.134 0.634 0.984
O1 O 0.000 0.500 0.878
O2 O 0.078 0.796 0.860
O3 O 0.133 0.633 0.260
```

---

Entry 2:
## K2Cu5TeS3O19 (PBEsol)

Data for crystalline K2Cu5TeS3O19 at its relaxed geometry.

Output
ΔE_f (raw): -1.05 eV/atom
Magnetic moment: 0.055 μB/cell
Calculated total energy: -5.726 eV per atom
Calculated volume: 770 Å³/cell

Geometry as CIF:
```
data_K2Cu5TeS3O19
_chemical_formula_sum 'K4 Cu10 Te2 S6 O38'
_symmetry_space_group_name_H-M 'P 1 21/m 1'
_symmetry_Int_Tables_number 11
_symmetry_space_group_name_Hall '-P 2yb'
_cell_length_a 7.500
_cell_length_b 12.008
_cell_length_c 9.263
_cell_angle_alpha 90.00
_cell_angle_beta 112.69
_cell_angle_gamma 90.00
loop_
_atom_site_label
_atom_site_type_symbol
_atom_site_fract_x
_atom_site_fract_y
_atom_site_fract_z
K1 K 0.000 0.000 0.000
K2 K 0.048 0.250 0.462
Cu1 Cu 0.467 0.625 0.738
Cu2 Cu 0.474 0.134 0.717
Cu3 Cu 0.500 0.000 0.000
Te1 Te 0.216 0.250 0.932
S1 S 0.200 0.750 0.946
S2 S 0.211 0.554 0.400
O1 O 0.015 0.250 0.101
O2 O 0.045 0.605 0.275
O3 O 0.172 0.055 0.448
O4 O 0.245 0.750 0.804
O5 O 0.276 0.636 0.533
O6 O 0.281 0.648 0.039
O7 O 0.331 0.250 0.772
O8 O 0.359 0.120 0.047
O9 O 0.373 0.533 0.342
O10 O 0.384 0.010 0.786
O11 O 0.410 0.250 0.278
O12 O 0.476 0.750 0.380
```

---

Entry 3:
## KTa3CuO9 (PBEsol)

Data for crystalline KTa3CuO9 at its relaxed geometry.

Output
ΔE_f (raw): -2.47 eV/atom
Magnetic moment: 4.043 μB/cell
Calculated total energy: -8.923 eV per atom
Calculated volume: 684 Å³/cell

Geometry as CIF:
```
data_KTa3CuO9
_chemical_formula_sum 'K4 Ta12 Cu4 O36'
_symmetry_space_group_name_H-M 'P m n a'
_symmetry_Int_Tables_number 53
_symmetry_space_group_name_Hall '-P 2ac 2'
_cell_length_a 7.619
_cell_length_b 8.841
_cell_length_c 10.148
_cell_angle_alpha 90.00
_cell_angle_beta 90.00
_cell_angle_gamma 90.00
loop_
_atom_site_label
_atom_site_type_symbol
_atom_site_fract_x
_atom_site_fract_y
_atom_site_fract_z
K1 K 0.000 0.084 0.241
Ta1 Ta 0.246 0.201 0.562
Ta2 Ta 0.250 0.430 0.250
Cu1 Cu 0.000 0.500 0.000
Cu2 Cu 0.000 0.500 0.500
O1 O 0.000 0.147 0.559
O2 O 0.000 0.276 0.948
O3 O 0.000 0.443 0.185
O4 O 0.181 0.416 0.614
O5 O 0.186 0.000 0.000
O6 O 0.212 0.274 0.379
O7 O 0.250 0.148 0.750
```

---

Entry 4:
## KYCu2O4 (PBEsol)

Data for crystalline KYCu2O4 at its relaxed geometry.

Output
ΔE_f (raw): -1.72 eV/atom
Magnetic moment: 0.000 μB/cell
Calculated total energy: -6.418 eV per atom
Calculated volume: 102 Å³/cell

Geometry as CIF:
```
data_KYCu2O4
_chemical_formula_sum 'K1 Y1 Cu2 O4'
_symmetry_space_group_name_H-M 'P 4/m m m'
_symmetry_Int_Tables_number 123
_symmetry_space_group_name_Hall '-P 4 2'
_cell_length_a 3.825
_cell_length_b 3.825
_cell_length_c 6.990
_cell_angle_alpha 90.00
_cell_angle_beta 90.00
_cell_angle_gamma 90.00
loop_
_atom_site_label
_atom_site_type_symbol
_atom_site_fract_x
_atom_site_fract_y
_atom_site_fract_z
K1 K 0.000 0.000 0.000
Y1 Y 0.000 0.000 0.500
Cu1 Cu 0.500 0.500 0.280
O1 O 0.000 0.500 0.298
```

---

Entry 5:
## K2CuOs (PBEsol)

Data for crystalline K2CuOs at its relaxed geometry.

Output
Energy of formation: 1432.4 meV per atom
Magnetic moment: 1.299 μB/cell
Calculated total energy: -3.272 eV per atom
Calculated volume: 158 Å³/cell

Geometry as CIF:
```
data_K2CuOs
_chemical_formula_sum 'K4 Cu2 Os2'
_symmetry_space_group_name_H-M 'I 4/m m m'
_symmetry_Int_Tables_number 139
_symmetry_space_group_name_Hall '-I 4 2'
_cell_length_a 3.870
_cell_length_b 3.870
_cell_length_c 10.576
_cell_angle_alpha 90.00
_cell_angle_beta 90.00
_cell_angle_gamma 90.00
loop_
_atom_site_label
_atom_site_type_symbol
_atom_site_fract_x
_atom_site_fract_y
_atom_site_fract_z
K1 K 0.000 0.500 0.250
Cu1 Cu 0.000 0.000 0.000
Os1 Os 0.000 0.000 0.500
```

---

Entry 6:
## K3CuOs (PBEsol)

Data for crystalline K3CuOs at its relaxed geometry.

Output
Energy of formation: 1659.2 meV per atom
Magnetic moment: 2.219 μB/cell
Calculated total energy: -2.331 eV per atom
Calculated volume: 199 Å³/cell

Geometry as CIF:
```
data_K3CuOs
_chemical_formula_sum 'K3 Cu1 Os1'
_symmetry_space_group_name_H-M 'P m -3 m'
_symmetry_Int_Tables_number 221
_symmetry_space_group_name_Hall '-P 4 2 3'
_cell_length_a 5.835
_cell_length_b 5.835
_cell_length_c 5.835
_cell_angle_alpha 90.00
_cell_angle_beta 90.00
_cell_angle_gamma 90.00
loop_
_atom_site_label
_atom_site_type_symbol
_atom_site_fract_x
_atom_site_fract_y
_atom_site_fract_z
K1 K 0.000 0.000 0.500
Cu1 Cu 0.000 0.000 0.000
Os1 Os 0.500 0.500 0.500
```

---

Entry 7:
## K2SrCuOs (PBEsol)

Data for crystalline K2SrCuOs at its relaxed geometry.

Output
Energy of formation: 1524.4 meV per atom
Magnetic moment: 1.578 μB/cell
Calculated total energy: -2.607 eV per atom
Calculated volume: 174 Å³/cell

Geometry as CIF:
```
data_K2SrCuOs
_chemical_formula_sum 'K2 Sr1 Cu1 Os1'
_symmetry_space_group_name_H-M 'P 4/m m m'
_symmetry_Int_Tables_number 123
_symmetry_space_group_name_Hall '-P 4 2'
_cell_length_a 5.442
_cell_length_b 5.442
_cell_length_c 5.880
_cell_angle_alpha 90.00
_cell_angle_beta 90.00
_cell_angle_gamma 90.00
loop_
_atom_site_label
_atom_site_type_symbol
_atom_site_fract_x
_atom_site_fract_y
_atom_site_fract_z
K1 K 0.000 0.500 0.000
Sr1 Sr 0.000 0.000 0.500
Cu1 Cu 0.000 0.000 0.000
Os1 Os 0.500 0.500 0.500
```

---

Entry 8:
## KCuP3 (PBEsol)

Data for crystalline KCuP3 at its relaxed geometry.

Output
Energy of formation: 510.0 meV per atom
Magnetic moment: 0.000 μB/cell
Calculated total energy: -4.058 eV per atom
Calculated volume: 98 Å³/cell

Geometry as CIF:
```
data_KCuP3
_chemical_formula_sum 'K1 Cu1 P3'
_symmetry_space_group_name_H-M 'P m -3 m'
_symmetry_Int_Tables_number 221
_symmetry_space_group_name_Hall '-P 4 2 3'
_cell_length_a 4.618
_cell_length_b 4.618
_cell_length_c 4.618
_cell_angle_alpha 90.00
_cell_angle_beta 90.00
_cell_angle_gamma 90.00
loop_
_atom_site_label
_atom_site_type_symbol
_atom_site_fract_x
_atom_site_fract_y
_atom_site_fract_z
K1 K 0.000 0.000 0.000
Cu1 Cu 0.500 0.500 0.500
P1 P 0.000 0.500 0.500
```

---

Entry 9:
## K2CuPb (PBEsol)

Data for crystalline K2CuPb at its relaxed geometry.

Output
Energy of formation: 117.9 meV per atom
Magnetic moment: 0.000 μB/cell
Calculated total energy: -2.532 eV per atom
Calculated volume: 272 Å³/cell

Geometry as CIF:
```
data_K2CuPb
_chemical_formula_sum 'K4 Cu2 Pb2'
_symmetry_space_group_name_H-M 'I m m 2'
_symmetry_Int_Tables_number 44
_symmetry_space_group_name_Hall 'I 2 -2'
_cell_length_a 4.309
_cell_length_b 5.935
_cell_length_c 10.633
_cell_angle_alpha 90.00
_cell_angle_beta 90.00
_cell_angle_gamma 90.00
loop_
_atom_site_label
_atom_site_type_symbol
_atom_site_fract_x
_atom_site_fract_y
_atom_site_fract_z
K1 K 0.000 0.000 0.000
K2 K 0.000 0.500 0.190
Cu1 Cu 0.000 0.000 0.415
Pb1 Pb 0.000 0.500 0.789
```

---

Entry 10:
## KCu2Pb2 (PBEsol)

Data for crystalline KCu2Pb2 at its relaxed geometry.

Output
Energy of formation: 186.0 meV per atom
Magnetic moment: 0.000 μB/cell
Calculated total energy: -3.374 eV per atom
Calculated volume: 242 Å³/cell

Geometry as CIF:
```
data_KCu2Pb2
_chemical_formula_sum 'K2 Cu4 Pb4'
_symmetry_space_group_name_H-M 'I 4/m m m'
_symmetry_Int_Tables_number 139
_symmetry_space_group_name_Hall '-I 4 2'
_cell_length_a 4.790
_cell_length_b 4.790
_cell_length_c 10.541
_cell_angle_alpha 90.00
_cell_angle_beta 90.00
_cell_angle_gamma 90.00
loop_
_atom_site_label
_atom_site_type_symbol
_atom_site_fract_x
_atom_site_fract_y
_atom_site_fract_z
K1 K 0.000 0.000 0.000
Cu1 Cu 0.000 0.000 0.383
Pb1 Pb 0.000 0.500 0.250
```